Here is a relaxed Lu2FeHg crystal from OQMD via LeMat-Bulk. Energies are from PBE.

a = 6.855 Å, b = 6.855 Å, c = 6.855 Å
α = 90.00°, β = 90.00°, γ = 90.00°
Space group F-43m (No. 216)
Unique sites:
Lu: 0.000 0.000 0.000 [4 per cell]
Lu: 0.250 0.250 0.250 [4 per cell]
Fe: 0.250 0.250 0.750 [4 per cell]
Hg: 0.000 0.000 0.500 [4 per cell]

Calculated values
calculated formation energy	13.61	kJ per mole of atoms


Here is a relaxed KNdB4 crystal from OQMD via LeMat-Bulk. Energies are from PBE.

a = 3.2185 Å, b = 3.2185 Å, c = 9.1731 Å
α = 90.00°, β = 90.00°, γ = 120.00°
Space group P6/mmm (No. 191)
Unique sites:
K: 0.0000 0.0000 0.0000 [1 per cell]
Nd: 0.0000 0.0000 0.5000 [1 per cell]
B: 0.3333 0.6667 0.2728 [4 per cell]

Calculated values
E above lowest polymorph	11.3	kJ/mol of atoms


Here is a relaxed YZn2 crystal from OQMD via LeMat-Bulk. Energies are from PBE.

a = 7.712 Å, b = 7.712 Å, c = 7.712 Å
α = 90.00°, β = 90.00°, γ = 90.00°
Space group Fd-3m (No. 227, origin choice 2)
Unique sites:
Y: 0.125 0.125 0.125 [8 per cell]
Zn: 0.000 0.000 0.500 [16 per cell]

Calculated values
calculated formation energy	-33.74	kJ per mole of atoms


Here is a relaxed RbTeIrO crystal from OQMD via LeMat-Bulk. Energies are from PBE.

a = 4.056 Å, b = 8.288 Å, c = 5.829 Å
α = 90.00°, β = 90.00°, γ = 90.00°
Space group Pmc2_1 (No. 26)
Unique sites:
Rb: 0.000 0.132 0.000 [2 per cell]
Te: 0.000 0.356 0.502 [2 per cell]
Ir: 0.500 0.499 0.754 [2 per cell]
O: 0.500 0.325 0.005 [2 per cell]

Calculated values
E above lowest polymorph	0.0	kJ/mol of atoms


Here is a relaxed B4Pt3W2 crystal from OQMD via LeMat-Bulk. Energies are from PBE.

a = 6.9405 Å, b = 6.9405 Å, c = 2.8131 Å
α = 90.00°, β = 90.00°, γ = 120.00°
Space group P-6 (No. 174)
Unique sites:
B: 0.0000 0.0000 0.0000 [1 per cell]
B: 0.0294 0.5312 0.0000 [3 per cell]
Pt: 0.2592 0.2192 0.5000 [3 per cell]
W: 0.3333 0.6667 0.5000 [1 per cell]
W: 0.6667 0.3333 0.0000 [1 per cell]


Here is a relaxed Cu7Ag3 crystal from OQMD via LeMat-Bulk. Energies are from PBE.

a = 3.827 Å, b = 18.965 Å, c = 3.762 Å
α = 90.00°, β = 90.00°, γ = 90.00°
Space group Cmmm (No. 65)
Unique sites:
Cu: 0.000 0.000 0.000 [2 per cell]
Cu: 0.000 0.206 0.000 [4 per cell]
Cu: 0.000 0.294 0.500 [4 per cell]
Cu: 0.000 0.391 0.000 [4 per cell]
Ag: 0.000 0.107 0.500 [4 per cell]
Ag: 0.000 0.500 0.500 [2 per cell]

Calculated values
calculated formation energy	7.54	kJ per mole of atoms
E above lowest polymorph	3.2	kJ/mol of atoms


Here is a relaxed B4MoAs crystal from OQMD via LeMat-Bulk. Energies are from PBE.

a = 3.011 Å, b = 5.336 Å, c = 7.036 Å
α = 90.00°, β = 90.00°, γ = 90.00°
Space group Immm (No. 71)
Unique sites:
B: 0.000 0.164 0.250 [8 per cell]
Mo: 0.000 0.500 0.000 [2 per cell]
As: 0.000 0.500 0.500 [2 per cell]

Calculated values
E above lowest polymorph	4.4	kJ/mol of atoms


Here is a relaxed MgNbAg crystal from OQMD via LeMat-Bulk. Energies are from PBE.

a = 6.391 Å, b = 6.391 Å, c = 6.391 Å
α = 90.00°, β = 90.00°, γ = 90.00°
Space group F-43m (No. 216)
Unique sites:
Mg: 0.000 0.000 0.000 [4 per cell]
Nb: 0.250 0.250 0.750 [4 per cell]
Ag: 0.000 0.000 0.500 [4 per cell]

Calculated values
E above lowest polymorph	36.0	kJ/mol of atoms


Here is a relaxed ScGaCu2 crystal from OQMD via LeMat-Bulk. Energies are from PBE.

a = 6.205 Å, b = 6.205 Å, c = 6.205 Å
α = 90.00°, β = 90.00°, γ = 90.00°
Space group F-43m (No. 216)
Unique sites:
Sc: 0.000 0.000 0.000 [4 per cell]
Ga: 0.250 0.250 0.750 [4 per cell]
Cu: 0.000 0.000 0.500 [4 per cell]
Cu: 0.250 0.250 0.250 [4 per cell]


Here is a relaxed CsGd2Ag3Se5 crystal from OQMD via LeMat-Bulk. Energies are from PBE.

a = 4.328 Å, b = 15.546 Å, c = 17.598 Å
α = 90.00°, β = 90.00°, γ = 90.00°
Space group Cmcm (No. 63)
Unique sites:
Cs: 0.000 0.062 0.250 [4 per cell]
Gd: 0.000 0.192 0.595 [8 per cell]
Ag: 0.000 0.343 0.250 [4 per cell]
Ag: 0.000 0.416 0.541 [8 per cell]
Se: 0.000 0.181 0.070 [8 per cell]
Se: 0.000 0.253 0.750 [4 per cell]
Se: 0.000 0.432 0.116 [8 per cell]


Here is a relaxed BeAlFeSb crystal from OQMD via LeMat-Bulk. Energies are from PBE.

a = 6.263 Å, b = 6.263 Å, c = 6.263 Å
α = 90.00°, β = 90.00°, γ = 90.00°
Space group F-43m (No. 216)
Unique sites:
Be: 0.000 0.000 0.000 [4 per cell]
Al: 0.000 0.000 0.500 [4 per cell]
Fe: 0.250 0.250 0.250 [4 per cell]
Sb: 0.250 0.250 0.750 [4 per cell]

Calculated values
E above lowest polymorph	18.9	kJ/mol of atoms


Here is a relaxed Tb2ErCd3Cu2Ag crystal from OQMD via LeMat-Bulk. Energies are from PBE.

a = 3.866 Å, b = 13.273 Å, c = 7.663 Å
α = 90.00°, β = 90.00°, γ = 90.00°
Space group Amm2 (No. 38)
Unique sites:
Tb: 0.000 0.205 0.000 [4 per cell]
Er: 0.000 0.000 0.615 [2 per cell]
Cd: 0.500 0.000 0.936 [2 per cell]
Cd: 0.500 0.134 0.340 [4 per cell]
Cu: 0.500 0.165 0.704 [4 per cell]
Ag: 0.000 0.000 0.206 [2 per cell]

Calculated values
calculated formation energy	-29.29	kJ per mole of atoms


Number 1: energy -4.2723 eV/atom. Number 2: energy -5.2605 eV/atom. Number 3: energy -3.3479 eV/atom. Number 4: energy -5.0245 eV/atom. Number 5: energy -7.5816 eV/atom. Number 6: energy -3.3711 eV/atom. Number 7: energy -6.7230 eV/atom. Number 8: energy -3.8458 eV/atom. Number 9: energy -4.4934 eV/atom. Number 10: energy -4.4191 eV/atom. Number 11: energy -4.4061 eV/atom. Number 12: energy -3.2777 eV/atom.